(1)
{"formula": "LiAs3P", "functional": "PBE", "state": "optimized geometry", "lattice": [[-4.527, 1.510, -0.851], [0.566, -0.961, -4.718], [-1.638, -4.505, 0.721]], "species": ["P", "As", "As", "As", "Li"], "fractional_positions": [[0.000, 0.000, 0.000], [0.000, 0.500, 0.000], [0.000, 0.000, 0.500], [0.500, 0.000, 0.000], [0.500, 0.500, 0.500]], "sg": "Pm-3m (221)", "delta_e_f_ev_per_atom": 0.4592, "e_tot_ev_per_fu": -19.0, "de_polymorph_mev_per_atom": 0}

(2)
{"formula": "Ho3Er2Zr2", "functional": "PBE", "state": "optimized geometry", "lattice": [[-4.608, -2.165, 0.831], [0.213, -1.598, -2.983], [2.796, -9.972, 5.543]], "species": ["Ho", "Ho", "Ho", "Er", "Er", "Zr", "Zr"], "fractional_positions": [[0.844, 0.000, 0.312], [0.000, 0.000, 0.000], [0.156, 0.000, 0.688], [0.577, 0.500, 0.847], [0.423, 0.500, 0.153], [0.720, 0.500, 0.559], [0.280, 0.500, 0.441]], "sg": "Cmmm (65)", "delta_e_f_ev_per_atom": 0.0504, "e_tot_ev_per_fu": -39.6}

(3)
{"formula": "TiBiPb2", "functional": "PBE", "state": "optimized geometry", "lattice": [[-0.840, 0.982, 3.091], [-0.827, -2.277, 2.314], [10.791, -1.179, 5.122]], "species": ["Pb", "Pb", "Bi", "Ti"], "fractional_positions": [[0.081, 0.081, 0.758], [0.919, 0.919, 0.242], [0.500, 0.500, 0.500], [0.000, 0.000, 0.000]], "sg": "R-3m (166)", "delta_e_f_ev_per_atom": 0.4639, "e_tot_ev_per_fu": -17.3}

(4)
{"formula": "BeTcB2", "functional": "PBE", "state": "optimized geometry", "lattice": [[-0.808, 2.654, -1.098], [-3.541, -1.404, -0.789], [1.421, 3.013, 6.239]], "species": ["Be", "Be", "Tc", "Tc", "B", "B", "B", "B"], "fractional_positions": [[0.750, 0.243, 0.354], [0.250, 0.757, 0.646], [0.750, 0.422, 0.803], [0.250, 0.578, 0.197], [0.750, 0.096, 0.976], [0.250, 0.904, 0.024], [0.750, 0.860, 0.471], [0.250, 0.140, 0.529]], "sg": "P2_1/m (11)", "delta_e_f_ev_per_atom": -0.1896, "e_tot_ev_per_fu": -28.2}

(5)
{"formula": "HgIrAu2", "functional": "PBE", "state": "optimized geometry", "lattice": [[5.002, 0.000, 0.000], [1.449, 4.787, 0.000], [-3.225, -2.394, 2.981]], "species": ["Au", "Au", "Hg", "Ir"], "fractional_positions": [[0.000, 0.000, 0.000], [0.500, 0.500, 0.000], [0.250, 0.750, 0.500], [0.750, 0.250, 0.500]], "sg": "I4/mmm (139)", "delta_e_f_ev_per_atom": 0.3988, "e_tot_ev_per_fu": -14.1}